1.
First-principles (GGA-PBE) data for a geometry-optimized BaGa2Pb structure, as listed in Alexandria via LeMat-Bulk.

Cell: 3.7286 7.0343 9.3871 Å, 90.00 90.00 90.00°
With the nearest neighbours (Å) after each atom.
Space group Amm2 (No. 38)
Unique sites:
Ba1 0.0000 0.0000 0.0000 x2  8 Ga 3.48-3.60, 2 Ba 3.73
Ga1 0.5000 0.1788 0.7009 x4  1 Ga 2.52
Pb1 0.5000 0.0000 0.4009 x2  4 Ga 2.94-3.08

Summary:
- DFT formation energy (eV/atom) = -0.176
- crystal system = orthorhombic
- DFT total energy (eV per atom) = -3.097



2.
First-principles (GGA-PBE) data for a geometry-optimized BaGaPb structure, as listed in Alexandria via LeMat-Bulk.

Cell: 5.2802 4.7054 8.2873 Å, 90.00 90.65 90.00°
With the nearest neighbours (Å) after each atom.
Space group P2_1/m (No. 11)
Unique sites:
Ba1 0.0357 0.2500 0.2411 x2  4 Ga 3.55-3.71, 5 Pb 3.57-3.96
Ga1 0.4488 0.7500 0.0600 x2  2 Ga 2.61, 1 Pb 2.87
Pb1 0.4091 0.2500 0.6045 x2  1 Ga 2.87, 2 Pb 3.08

Summary:
- DFT formation energy (eV/atom) = -0.443
- crystal system = monoclinic
- DFT total energy (eV per atom) = -3.329